This record from Alexandria via LeMat-Bulk describes crystalline As2WSe at its relaxed geometry. The functional is PBEsol.

a = 3.2124 Å, b = 3.2124 Å, c = 6.5420 Å
α = 90.00°, β = 90.00°, γ = 90.00°
Closest atoms and distances in Å follow each position.
Space group P4/mmm (No. 123)
One atom of each set of equivalent atoms:
As  0.0000  0.0000  0.2163 (multiplicity 2)  4 W 2.68, 1 As 2.83, 4 Se 2.93
W  0.5000  0.5000  0.0000 (multiplicity 1)  8 As 2.68
Se  0.5000  0.5000  0.5000 (multiplicity 1)  8 As 2.93, 4 Se 3.21, 2 W 3.27

Size of the total moment: 0.000 μB per formula unit
DOS at the Fermi energy: 1.79 states/eV/cell
Crystal system: tetragonal
Uncorrected formation energy: 0.74 eV/f.u.
VASP energy: -27.13 eV per formula unit
Volume: 16.88 A^3/atom



This record from Alexandria via LeMat-Bulk describes crystalline BaCd3 at its relaxed geometry. The functional is PBEsol.

a = 4.8644 Å, b = 4.8644 Å, c = 17.5304 Å
α = 90.00°, β = 90.00°, γ = 120.00°
Closest atoms and distances in Å follow each position.
Space group R-3m (No. 166, hexagonal axes)
One atom of each set of equivalent atoms:
Ba  0.0000  0.0000  0.0000 (multiplicity 3)  8 Cd 3.60
Cd  0.0000  0.0000  0.2052 (multiplicity 6)  6 Cd 2.89-3.12
Cd  0.0000  0.0000  0.5000 (multiplicity 3)  6 Cd 2.89

Size of the total moment: 0.000 μB per formula unit
DOS at the Fermi energy: 9.30 states/eV/cell
Crystal system: trigonal
VASP energy: -6.63 eV per formula unit
Volume: 29.93 A^3/atom



This record from Alexandria via LeMat-Bulk describes crystalline BiSb2TeS at its relaxed geometry. The functional is PBEsol.

a = 5.7955 Å, b = 5.7955 Å, c = 5.6621 Å
α = 90.00°, β = 90.00°, γ = 90.00°
Closest atoms and distances in Å follow each position.
Space group P4/mmm (No. 123)
One atom of each set of equivalent atoms:
Bi  0.0000  0.0000  0.0000 (multiplicity 1)  2 Te 2.83, 4 Sb 2.90
Sb  0.0000  0.5000  0.0000 (multiplicity 2)  2 Bi 2.90
Te  0.0000  0.0000  0.5000 (multiplicity 1)  2 Bi 2.83
S  0.5000  0.5000  0.5000 (multiplicity 1)  8 Sb 4.05, 4 Te 4.10

Size of the total moment: 0.804 μB per formula unit
DOS at the Fermi energy: 6.89 states/eV/cell
Crystal system: tetragonal
Uncorrected formation energy: 6.16 eV/f.u.
VASP energy: -15.15 eV per formula unit
Volume: 38.04 A^3/atom



This record from Alexandria via LeMat-Bulk describes crystalline TaCo6Ni at its relaxed geometry. The functional is PBEsol.

a = 7.0340 Å, b = 10.0446 Å, c = 10.0461 Å
α = 90.00°, β = 90.00°, γ = 90.00°
Closest atoms and distances in Å follow each position.
Space group Cmmm (No. 65)
One atom of each set of equivalent atoms:
Ta  0.0000  0.0000  0.2480 (multiplicity 4)  12 Co 2.49-2.59
Ta  0.0000  0.2431  0.0000 (multiplicity 4)  12 Co 2.44-2.61
Co  0.0000  0.0000  0.0000 (multiplicity 2)  4 Ta 2.44-2.49, 8 Co 2.56
Co  0.0000  0.0000  0.5000 (multiplicity 2)  2 Ni 2.44, 2 Ta 2.53, 8 Co 2.53
Co  0.0000  0.2548  0.2593 (multiplicity 8)  8 Co 2.39-2.61, 2 Ni 2.42-2.46, 2 Ta 2.56-2.61
Co  0.0000  0.5000  0.0000 (multiplicity 2)  8 Co 2.46, 2 Ni 2.56, 2 Ta 2.58
Co  0.0000  0.5000  0.5000 (multiplicity 2)  8 Co 2.46, 4 Ni 2.46-2.58
Co  0.2398  0.3776  0.1298 (multiplicity 16)  1 Ni 2.44, 8 Co 2.46-2.61, 3 Ta 2.50-2.55
Co  0.2423  0.3712  0.3796 (multiplicity 16)  8 Co 2.39-2.59, 3 Ni 2.45-2.48, 1 Ta 2.59
Ni  0.0000  0.2431  0.5000 (multiplicity 4)  12 Co 2.42-2.58
Ni  0.0000  0.5000  0.2553 (multiplicity 4)  12 Co 2.44-2.56

Size of the total moment: 7.639 μB per formula unit
DOS at the Fermi energy: 68.63 states/eV/cell
Crystal system: orthorhombic
VASP energy: -65.63 eV per formula unit
Volume: 11.09 A^3/atom